This record from Alexandria via LeMat-Bulk describes crystalline CoC2F at its relaxed geometry. The functional is GGA+U.

abc: 5.3367 5.3367 5.3367
angles: 128.93 128.93 75.12
With the nearest neighbours (Å) after each atom.
Fractional coordinates of all 8 atoms:
1 Co 0.0000 0.0000 0.0000  4 C 1.74
2 Co 0.7500 0.2500 0.5000  4 C 1.74
3 C 0.0428 0.6250 0.9178  2 Co 1.74
4 C 0.3750 0.2928 0.4178  2 Co 1.74
5 C 0.7072 0.1250 0.0822  2 Co 1.74
6 C 0.8750 0.9572 0.5822  2 Co 1.74
7 F 0.2500 0.7500 0.5000  4 C 2.19
8 F 0.5000 0.5000 0.0000  4 C 2.19

Its symmetry is I-42d, No. 122. For the density of states at the Fermi level, the calculation gives 1.1 states/eV/f.u. For the total DFT energy (no corrections), the calculation gives -4.905 eV per atom. For the relative energy among the computed polymorphs, the calculation gives 0.0 kJ per mole of atoms. The value obtained for the magnetization is 0.00 μB/f.u.